Ba2TbSnSe5 after structural relaxation. Source: the Alexandria database, functional PBE.

Structure (POSCAR):
```
Ba2TbSnSe5
1.0
4.4885 0.0000 0.0000
-2.2442 9.4265 0.0000
0.0000 0.0000 13.3692
Ba Tb Sn Se
4 2 2 10
Direct
0.8659 0.7318 0.8117 Ba
0.1147 0.2295 0.6821 Ba
0.1341 0.2682 0.3117 Ba
0.8853 0.7705 0.1821 Ba
0.7878 0.5757 0.5198 Tb
0.2122 0.4243 0.0198 Tb
0.5459 0.0919 0.9498 Sn
0.4541 0.9081 0.4498 Sn
0.3595 0.7190 0.9999 Se
0.6835 0.3670 0.8748 Se
0.4942 0.9883 0.7664 Se
0.2875 0.5749 0.6580 Se
0.9468 0.8937 0.5613 Se
0.6405 0.2810 0.4999 Se
0.3165 0.6330 0.3748 Se
0.5058 0.0117 0.2664 Se
0.7125 0.4251 0.1580 Se
0.0532 0.1063 0.0613 Se
```

Computed properties:
* uncorrected formation energy: -1.5433 eV/atom
* symmetry: Cmc2_1 (36)
* DOS(E_F): 3.0 states/eV per cell